Compound: Ac2CoHgO6
Source: Alexandria
Functional: GGA+U
Structure: optimized geometry

Lattice parameters (Å, degrees): 4.9893 5.6057 5.6057 90.00 90.00 90.00
Each line ends with the local moment (μB).
Fractional coordinates of all 10 atoms:
Ac 0.0251 0.5000 0.0000  0.01
O 0.7238 0.7735 0.2265  0.02
Ac 0.0251 0.0000 0.5000  0.01
O 0.7238 0.2265 0.7735  0.02
Co 0.6069 0.0000 0.0000  2.35
O 0.1103 0.5000 0.5000  0.02
O 0.2398 0.0000 0.0000  0.36
O 0.7238 0.2265 0.2265  0.02
O 0.7238 0.7735 0.7735  0.02
Hg 0.5446 0.5000 0.5000  0.02

- E_tot (eV/atom) = -6.216
- M_tot (μB per atom) = 0.30
- space group = P4mm (99)